An optimized crystal structure of PuAlTcNi, computed with PBE.

The structure in extended XYZ format:
```
4
Lattice="-1.0874 4.3669 0.0058 -4.3109 1.2458 -0.3407 -2.1127 1.7880 3.5485" Properties=species:S:1:pos:R:3 pbc="T T T"
Pu -1.8778 1.8502 0.8034
Ni -3.7555 3.7004 1.6068
Al -5.6333 5.5506 2.4102
Tc 0.0000 0.0000 0.0000
```

The calculation puts the density of states at the Fermi level at 1.19 states/eV/atom. As for the energy of formation: -0.193 eV per atom. The space group is F-43m.



An optimized crystal structure of RbAl3Ni, computed with PBE.

The structure in extended XYZ format:
```
5
Lattice="-1.9728 4.1014 1.3473 -4.0344 -2.2787 1.0294 1.5364 -0.7174 4.4332" Properties=species:S:1:pos:R:3 pbc="T T T"
Ni 0.0000 0.0000 0.0000
Al -0.9864 2.0507 0.6737
Al 0.7682 -0.3587 2.2166
Al -2.0172 -1.1394 0.5147
Rb -2.2354 0.5527 3.4050
```

The calculation puts the density of states at the Fermi level at 0.53 states/eV/atom. As for the energy of formation: 0.093 eV per atom. The calculation puts the energy above the lowest structure with this stoichiometry at 0 meV per atom. The space group is Pm-3m.



An optimized crystal structure of RbAl2Ni2, computed with PBE.

The structure in extended XYZ format:
```
5
Lattice="4.4967 0.0000 0.0000 0.0000 4.4967 0.0000 2.2484 2.2484 6.1818" Properties=species:S:1:pos:R:3 pbc="T T T"
Rb 0.0000 0.0000 0.0000
Ni 4.4967 2.2484 3.0909
Ni 2.2484 4.4967 3.0909
Al 2.2484 2.2484 2.4865
Al 4.4967 4.4967 3.6953
```

The calculation puts the density of states at the Fermi level at 0.65 states/eV/atom. As for the energy of formation: 0.058 eV per atom. The space group is I4/mmm.



An optimized crystal structure of RbAl3Ni, computed with PBE.

The structure in extended XYZ format:
```
5
Lattice="-3.1084 1.3948 4.6770 3.3269 -3.4515 3.2404 3.5709 4.4298 1.0521" Properties=species:S:1:pos:R:3 pbc="T T T"
Al 1.6635 -1.7257 1.6202
Al 1.7854 2.2149 0.5261
Al -1.5542 0.6974 2.3385
Ni 1.8947 1.1866 4.4848
Rb 0.0000 0.0000 0.0000
```

The calculation puts the density of states at the Fermi level at 1.90 states/eV/atom. As for the energy of formation: 2.194 eV per atom. The calculation puts the energy above the lowest structure with this stoichiometry at 2101 meV per atom. The space group is Pm-3m.



An optimized crystal structure of Al8ReNi2, computed with PBE.

The structure in extended XYZ format:
```
11
Lattice="-0.9886 -3.8165 0.4645 4.6054 -1.7580 -4.6426 2.2788 2.2468 6.3482" Properties=species:S:1:pos:R:3 pbc="T T T"
Al 1.2211 -0.1615 1.2726
Al 1.3900 -0.5306 -1.4011
Al 1.7541 0.0207 3.9040
Al 3.7795 -0.7524 1.8622
Al 4.1414 -3.3484 -1.7340
Al 2.1161 -2.5753 0.3078
Al 4.6744 -3.1662 0.8974
Al 4.5056 -2.7971 3.5711
Re -0.4943 -1.9082 0.2322
Ni 3.8170 -1.0792 -0.7434
Ni 2.0786 -2.2484 2.9134
```

The calculation puts the density of states at the Fermi level at 0.44 states/eV/atom. As for the energy of formation: -0.329 eV per atom. The space group is Immm.



An optimized crystal structure of AlReNi3, computed with PBE.

The structure in extended XYZ format:
```
5
Lattice="-3.6431 -1.7534 0.9183 -0.4119 -1.2099 -3.9441 1.9360 -3.5569 0.8889" Properties=species:S:1:pos:R:3 pbc="T T T"
Ni -0.2060 -0.6049 -1.9721
Ni -1.8215 -0.8767 0.4592
Ni 0.9680 -1.7784 0.4444
Re -1.0595 -3.2601 -1.0684
Al 0.0000 0.0000 0.0000
```

The calculation puts the density of states at the Fermi level at 1.26 states/eV/atom. As for the energy of formation: 1.133 eV per atom. The calculation puts the energy above the lowest structure with this stoichiometry at 0 meV per atom. The space group is Pm-3m.



An optimized crystal structure of AlReNi4, computed with PBE.

The structure in extended XYZ format:
```
6
Lattice="0.0000 3.3085 3.3085 3.3085 0.0000 3.3085 3.3085 3.3085 0.0000" Properties=species:S:1:pos:R:3 pbc="T T T"
Ni 2.4827 4.1342 4.1342
Ni 4.1342 2.4827 4.1342
Ni 2.4827 2.4827 2.4827
Ni 4.1342 4.1342 2.4827
Re 4.9627 4.9627 4.9627
Al 0.0000 0.0000 0.0000
```

The calculation puts the density of states at the Fermi level at 1.22 states/eV/atom. As for the energy of formation: -0.012 eV per atom. The space group is F-43m.



An optimized crystal structure of Al2Re2Ni, computed with PBE.

The structure in extended XYZ format:
```
10
Lattice="5.9532 0.0000 0.0000 0.0000 5.9532 0.0000 0.0000 0.0000 3.9137" Properties=species:S:1:pos:R:3 pbc="T T T"
Ni 0.0000 0.0000 0.0000
Ni 2.9766 2.9766 0.0000
Re 4.9316 1.9550 1.9569
Re 3.9982 4.9316 1.9569
Re 1.0216 3.9982 1.9569
Re 1.9550 1.0216 1.9569
Al 0.8466 2.1300 0.0000
Al 5.1066 3.8232 0.0000
Al 2.1300 5.1066 0.0000
Al 3.8232 0.8466 0.0000
```

The calculation puts the density of states at the Fermi level at 0.71 states/eV/atom. As for the energy of formation: 0.091 eV per atom. The calculation puts the energy above the lowest structure with this stoichiometry at 0 meV per atom. The space group is P4/mbm.



An optimized crystal structure of Al2ReNi9, computed with PBE.

The structure in extended XYZ format:
```
12
Lattice="3.5890 0.0000 0.0000 0.0000 3.5890 0.0000 0.0000 0.0000 10.6990" Properties=species:S:1:pos:R:3 pbc="T T T"
Ni 1.7945 1.7945 3.5700
Ni 1.7945 0.0000 8.9223
Ni 1.7945 1.7945 0.0000
Ni 1.7945 0.0000 5.3495
Ni 0.0000 1.7945 1.7766
Ni 0.0000 1.7945 5.3495
Ni 1.7945 0.0000 1.7766
Ni 0.0000 1.7945 8.9223
Ni 1.7945 1.7945 7.1289
Re 0.0000 0.0000 0.0000
Al 0.0000 0.0000 7.0687
Al 0.0000 0.0000 3.6303
```

The calculation puts the density of states at the Fermi level at 0.70 states/eV/atom. As for the energy of formation: -0.287 eV per atom. The space group is P4/mmm.



An optimized crystal structure of Al2ReNi2, computed with PBE.

The structure in extended XYZ format:
```
5
Lattice="3.3810 0.0000 0.0000 0.0000 3.3810 0.0000 1.6905 1.6905 5.8666" Properties=species:S:1:pos:R:3 pbc="T T T"
Al 1.6905 1.6905 1.2465
Al 3.3810 3.3810 4.6202
Ni 3.3810 1.6905 2.9333
Ni 1.6905 3.3810 2.9333
Re 0.0000 0.0000 0.0000
```

The calculation puts the density of states at the Fermi level at 1.24 states/eV/atom. As for the energy of formation: -0.004 eV per atom. The calculation puts the energy above the lowest structure with this stoichiometry at 282 meV per atom. The space group is I4/mmm.



An optimized crystal structure of AlReNi3, computed with PBE.

The structure in extended XYZ format:
```
5
Lattice="-0.2886 -3.6235 2.6565 -0.3242 -2.6383 -3.6338 4.4813 -0.4242 -0.0918" Properties=species:S:1:pos:R:3 pbc="T T T"
Al 1.9342 -3.3430 -0.5345
Ni -0.1443 -1.8117 1.3283
Ni -0.1621 -1.3191 -1.8169
Ni 2.2406 -0.2121 -0.0459
Re 0.0000 0.0000 0.0000
```

The calculation puts the density of states at the Fermi level at 1.18 states/eV/atom. As for the energy of formation: 1.292 eV per atom. The calculation puts the energy above the lowest structure with this stoichiometry at 159 meV per atom. The space group is Pm-3m.



An optimized crystal structure of Al2ReNi2, computed with PBE.

The structure in extended XYZ format:
```
10
Lattice="6.9635 0.0000 0.0000 0.0000 6.9635 0.0000 0.0000 0.0000 2.6374" Properties=species:S:1:pos:R:3 pbc="T T T"
Ni 0.8729 2.6089 0.0000
Ni 4.3546 0.8729 0.0000
Ni 2.6089 6.0907 0.0000
Ni 6.0907 4.3546 0.0000
Al 1.1917 4.6734 1.3187
Al 2.2901 1.1917 1.3187
Al 5.7718 2.2901 1.3187
Al 4.6734 5.7718 1.3187
Re 3.4818 3.4818 0.0000
Re 0.0000 0.0000 0.0000
```

The calculation puts the density of states at the Fermi level at 0.74 states/eV/atom. As for the energy of formation: -0.272 eV per atom. The calculation puts the energy above the lowest structure with this stoichiometry at 14 meV per atom. The space group is P4/mbm.